[1]
This record from Alexandria describes a geometry-optimized PmNdH structure. The functional is PBE-GGA.

abc: 3.659 6.346 6.345
angles: 80.46 90.05 106.78
Sites, in units of the cell vectors:
1 H 0.250 0.001 0.253
2 H 0.750 0.999 0.747
3 Nd 0.629 0.757 0.124
4 Nd 0.371 0.243 0.876
5 Pm 0.130 0.760 0.623
6 Pm 0.870 0.240 0.377



[2]
This record from Alexandria describes a geometry-optimized PmNd3H structure. The functional is PBE-GGA.

abc: 5.175 5.175 5.175
angles: 90.00 90.00 90.00
Sites, in units of the cell vectors:
1 H 0.000 0.000 0.000
2 Nd 0.000 0.500 0.000
3 Nd 0.000 0.000 0.500
4 Nd 0.500 0.000 0.000
5 Pm 0.500 0.500 0.500



[3]
This record from Alexandria describes a geometry-optimized Pm3NdH8 structure. The functional is PBE-GGA.

abc: 5.425 5.425 5.425
angles: 90.00 90.00 90.00
Sites, in units of the cell vectors:
1 Pm 0.500 0.500 0.000
2 Pm 0.500 0.000 0.500
3 Pm 0.000 0.500 0.500
4 Nd 0.000 0.000 0.000
5 H 0.252 0.252 0.748
6 H 0.252 0.748 0.252
7 H 0.748 0.252 0.252
8 H 0.748 0.748 0.748
9 H 0.748 0.748 0.252
10 H 0.748 0.252 0.748
11 H 0.252 0.748 0.748
12 H 0.252 0.252 0.252



[4]
This record from Alexandria describes a geometry-optimized PmNd2H structure. The functional is PBE-GGA.

abc: 3.726 3.726 9.080
angles: 78.16 78.16 60.00
Sites, in units of the cell vectors:
1 H 0.000 0.000 0.000
2 Nd 0.721 0.721 0.836
3 Nd 0.279 0.279 0.164
4 Pm 0.500 0.500 0.500



[5]
This record from Alexandria describes a geometry-optimized PmNdH structure. The functional is PBE-GGA.

abc: 3.743 3.743 5.855
angles: 90.00 90.00 120.00
Sites, in units of the cell vectors:
1 H 0.333 0.667 0.669
2 Nd 0.667 0.333 0.426
3 Pm 0.000 0.000 0.905



[6]
This record from Alexandria describes a geometry-optimized PmNd2H structure. The functional is PBE-GGA.

abc: 3.453 3.453 8.752
angles: 90.00 90.00 90.00
Sites, in units of the cell vectors:
1 H 0.500 0.500 0.000
2 Nd 0.000 0.000 0.812
3 Nd 0.000 0.000 0.188
4 Pm 0.500 0.500 0.500



[7]
This record from Alexandria describes a geometry-optimized PmNd2H structure. The functional is PBE-GGA.

abc: 3.702 3.702 9.144
angles: 78.32 78.32 60.00
Sites, in units of the cell vectors:
1 Pm 0.501 0.501 0.498
2 Nd 0.054 0.054 0.837
3 Nd 0.278 0.278 0.165
4 H 0.667 0.667 0.000



[8]
This record from Alexandria describes a geometry-optimized Pm2Nd2H structure. The functional is PBE-GGA.

abc: 5.168 5.156 5.156
angles: 90.00 90.00 90.00
Sites, in units of the cell vectors:
1 Pm 0.000 0.000 0.500
2 Pm 0.000 0.500 0.000
3 Nd 0.500 0.500 0.500
4 Nd 0.500 0.000 0.000
5 H 0.000 0.000 0.000



[9]
This record from Alexandria describes a geometry-optimized PmNdSiH structure. The functional is PBE-GGA.

abc: 4.954 4.954 4.954
angles: 60.00 60.00 60.00
Sites, in units of the cell vectors:
1 H 0.750 0.750 0.750
2 Si 0.250 0.250 0.250
3 Nd 0.000 0.000 0.000
4 Pm 0.500 0.500 0.500



[10]
This record from Alexandria describes a geometry-optimized Pm2NdSmH structure. The functional is PBE-GGA.

abc: 5.138 5.139 5.139
angles: 90.00 90.00 90.00
Sites, in units of the cell vectors:
1 Pm 0.000 0.000 0.500
2 Pm 0.000 0.500 0.000
3 Nd 0.500 0.500 0.500
4 Sm 0.500 0.000 0.000
5 H 0.000 0.000 0.000



[11]
This record from Alexandria describes a geometry-optimized PmNd2SmH structure. The functional is PBE-GGA.

abc: 5.145 5.159 5.159
angles: 90.00 90.00 90.00
Sites, in units of the cell vectors:
1 Pm 0.500 0.500 0.500
2 Nd 0.000 0.000 0.500
3 Nd 0.000 0.500 0.000
4 Sm 0.500 0.000 0.000
5 H 0.000 0.000 0.000



[12]
This record from Alexandria describes a geometry-optimized Pm4Nd2Sn3H2 structure. The functional is PBE-GGA.

abc: 4.796 4.796 13.303
angles: 100.38 100.38 90.00
Sites, in units of the cell vectors:
1 Pm 0.418 0.918 0.835
2 Pm 0.918 0.418 0.835
3 Pm 0.082 0.582 0.165
4 Pm 0.582 0.082 0.165
5 Nd 0.301 0.301 0.601
6 Nd 0.699 0.699 0.399
7 Sn 0.000 0.000 0.000
8 Sn 0.174 0.174 0.348
9 Sn 0.826 0.826 0.652
10 H 0.398 0.398 0.796
11 H 0.602 0.602 0.204



[13]
This record from Alexandria describes a geometry-optimized Pm2Nd4Sn3H2 structure. The functional is PBE-GGA.

abc: 4.804 4.804 13.363
angles: 100.35 100.35 90.00
Sites, in units of the cell vectors:
1 Pm 0.300 0.300 0.600
2 Pm 0.700 0.700 0.400
3 Nd 0.417 0.917 0.834
4 Nd 0.917 0.417 0.834
5 Nd 0.083 0.583 0.166
6 Nd 0.583 0.083 0.166
7 Sn 0.000 0.000 0.000
8 Sn 0.175 0.175 0.351
9 Sn 0.825 0.825 0.649
10 H 0.396 0.396 0.791
11 H 0.604 0.604 0.209



| no. | energy (eV per cell) |
| --- | --- |
| 1 | -27.1 |
| 2 | -23.3 |
| 3 | -53.9 |
| 4 | -18.3 |
| 5 | -13.5 |
| 6 | -17.2 |
| 7 | -18.2 |
| 8 | -23.3 |
| 9 | -19.7 |
| 10 | -23.2 |
| 11 | -23.2 |
| 12 | -53.5 |
| 13 | -53.4 |